## Li4FeSi (PBE)

Data for a relaxed Li4FeSi crystal.

theoretical density	2.45	g/cm3
uncorrected formation energy	24.10	kJ per mole of atoms
electronic total energy	-3.3404	eV per atom
symmetry	F-43m
calculated volume	75.6	Å³ per cell

Unit cell a=4.7454 b=4.7454 c=4.7454 alpha=60.00 beta=60.00 gamma=60.00
With the nearest neighbours (Å) after each atom.
Element x y z (fractional)
Li 0.6246 0.6246 0.1262  6 Li 2.37-2.38
Li 0.6246 0.1262 0.6246  6 Li 2.37-2.38
Li 0.6246 0.6246 0.6246  6 Li 2.37-2.38
Li 0.1262 0.6246 0.6246  6 Li 2.37-2.38
Fe 0.0000 0.0000 0.0000  12 Li 2.78, 4 Si 2.91
Si 0.2500 0.2500 0.2500  12 Li 2.78, 4 Fe 2.91



## SmPuSbTe (PBE)

Data for a relaxed SmPuSbTe crystal.

theoretical density	9.51	g/cm3
uncorrected formation energy	-87.56	kJ per mole of atoms
electronic total energy	-7.4863	eV per atom
symmetry	F-43m
relative energy among the computed polymorphs	205	meV/atom
calculated volume	112.4	Å³ per cell

Unit cell a=5.4172 b=5.4172 c=5.4172 alpha=60.00 beta=60.00 gamma=60.00
With the nearest neighbours (Å) after each atom.
Element x y z (fractional)
Sb 0.7500 0.7500 0.7500  4 Sm 3.32, 4 Pu 3.32
Te 0.2500 0.2500 0.2500  4 Pu 3.32, 4 Sm 3.32
Sm 0.0000 0.0000 0.0000  4 Sb 3.32, 4 Te 3.32
Pu 0.5000 0.5000 0.5000  4 Sb 3.32, 4 Te 3.32



## AsIr2 (PBE)

Data for a relaxed AsIr2 crystal.

theoretical density	15.83	g/cm3
electronic total energy	-7.2712	eV per atom
symmetry	Pnnm
calculated volume	96.3	Å³ per cell

Unit cell a=3.5838 b=3.9432 c=6.8177 alpha=90.00 beta=90.00 gamma=90.00
With the nearest neighbours (Å) after each atom.
Element x y z (fractional)
As 0.0000 0.0000 0.0000  6 Ir 2.44-2.45
As 0.5000 0.5000 0.5000  6 Ir 2.44-2.45
Ir 0.7567 0.0000 0.3344  3 As 2.44-2.45
Ir 0.2433 0.0000 0.6656  3 As 2.44-2.45
Ir 0.2567 0.5000 0.1656  3 As 2.44-2.45
Ir 0.7433 0.5000 0.8344  3 As 2.44-2.45